A plane-wave DFT calculation with PBE was carried out for a geometry-optimized Pa2Co4Si3Pd structure.

Lattice parameters (Å, degrees): 3.7402 3.7402 10.6919 90.00 90.00 90.00
With the nearest neighbours (Å) after each atom.
Fractional positions:
Si 0.0000 0.0000 0.5000  4 Co 2.61, 4 Pd 2.64
Pa 0.0000 0.5000 0.7494  4 Co 2.78, 4 Si 3.01
Pa 0.5000 0.0000 0.2506  4 Co 2.78, 4 Si 3.01
Si 0.0000 0.5000 0.1164  5 Co 2.25-2.28
Co 0.0000 0.5000 0.3300  1 Si 2.28
Si 0.5000 0.0000 0.8836  5 Co 2.25-2.28
Co 0.5000 0.5000 0.0000  4 Si 2.25
Pd 0.5000 0.5000 0.5000  4 Co 2.61, 4 Si 2.64
Co 0.5000 0.0000 0.6700  1 Si 2.28
Co 0.0000 0.0000 0.0000  4 Si 2.25

Results
**Energy relative to the elements, uncorrected**: -0.672 eV/atom
**Symmetry**: P-4m2 (115)

---

A plane-wave DFT calculation with PBE was carried out for a geometry-optimized PaCoSnPd structure.

Lattice parameters (Å, degrees): 4.7428 4.7428 4.7428 60.00 60.00 60.00
With the nearest neighbours (Å) after each atom.
Fractional positions:
Pa 0.5000 0.5000 0.5000  4 Co 2.90, 4 Pd 2.90
Sn 0.0000 0.0000 0.0000  4 Pd 2.90, 4 Co 2.90
Co 0.2500 0.2500 0.2500  4 Sn 2.90, 4 Pa 2.90
Pd 0.7500 0.7500 0.7500  4 Pa 2.90, 4 Sn 2.90

Results
**Energy**: -6.81 eV/atom
**Symmetry**: F-43m (216)

---

A plane-wave DFT calculation with PBE was carried out for a geometry-optimized TmPaCoPd structure.

Lattice parameters (Å, degrees): 4.8253 4.8253 4.8253 60.00 60.00 60.00
With the nearest neighbours (Å) after each atom.
Fractional positions:
Tm 0.2500 0.2500 0.2500  4 Pd 2.95, 4 Co 2.95
Pd 0.0000 0.0000 0.0000  4 Pa 2.95, 4 Tm 2.95
Co 0.5000 0.5000 0.5000  4 Pa 2.95, 4 Tm 2.95
Pa 0.7500 0.7500 0.7500  4 Co 2.95, 4 Pd 2.95

Results
**Energy**: -6.90 eV/atom
**Symmetry**: F-43m (216)

---

A plane-wave DFT calculation with PBE was carried out for a geometry-optimized UPaCoPd structure.

Lattice parameters (Å, degrees): 4.6276 4.6276 4.6276 60.00 60.00 60.00
With the nearest neighbours (Å) after each atom.
Fractional positions:
Pa 0.2500 0.2500 0.2500  4 U 2.83, 4 Pd 2.83
U 0.5000 0.5000 0.5000  4 Co 2.83, 4 Pa 2.83
Pd 0.0000 0.0000 0.0000  4 Pa 2.83, 4 Co 2.83
Co 0.7500 0.7500 0.7500  4 U 2.83, 4 Pd 2.83

Results
**Energy**: -8.56 eV/atom
**Symmetry**: F-43m (216)

---

A plane-wave DFT calculation with PBE was carried out for a geometry-optimized PmPa2Co3 structure.

Lattice parameters (Å, degrees): 6.7510 6.1950 6.1950 110.71 90.00 90.00
With the nearest neighbours (Å) after each atom.
Fractional positions:
Co 0.2500 0.8839 0.8839  2 Co 2.45, 4 Pa 2.64
Co 0.7500 0.1161 0.1161  2 Co 2.45, 4 Pa 2.64
Co 0.7500 0.5052 0.0984  1 Co 2.45, 4 Pa 2.48-2.72
Co 0.7500 0.0984 0.5052  1 Co 2.45, 4 Pa 2.48-2.72
Co 0.2500 0.4948 0.9016  1 Co 2.45, 4 Pa 2.48-2.72
Pa 0.5000 0.1829 0.8171  6 Co 2.48-2.72
Co 0.2500 0.9016 0.4948  1 Co 2.45, 4 Pa 2.48-2.72
Pa 0.0000 0.8171 0.1829  6 Co 2.48-2.72
Pm 0.2500 0.3685 0.3685  5 Co 3.11-3.41
Pa 0.0000 0.1829 0.8171  6 Co 2.48-2.72
Pm 0.7500 0.6315 0.6315  5 Co 3.11-3.41
Pa 0.5000 0.8171 0.1829  6 Co 2.48-2.72

Results
**Energy**: -7.77 eV/atom
**Symmetry**: Cmcm (63)

---

A plane-wave DFT calculation with PBE was carried out for a geometry-optimized Pm2PaCo structure.

Lattice parameters (Å, degrees): 3.3800 3.3800 10.6276 80.85 80.85 60.00
With the nearest neighbours (Å) after each atom.
Fractional positions:
Co 0.5000 0.5000 0.5000  6 Pm 2.72
Pm 0.8938 0.8938 0.3186  3 Co 2.72
Pa 0.0000 0.0000 0.0000  2 Pm 3.33, 6 Pa 3.38
Pm 0.1062 0.1062 0.6814  3 Co 2.72

Results
**Energy**: -6.11 eV/atom
**Symmetry**: R-3m (166)

---

Calculated volume in Å³/atom, matching the order above: 15.0 18.9 19.9 17.5 20.2 25.8
Total moment in Bohr magnetons per cell, matching the order above: 0.00 0.66 0.00 2.05 0.00 0.00
D(E_F) in states/eV/cell, matching the order above: 9.8 5.6 5.1 6.9 11.3 5.6